Density functional theory data (PBE-GGA) for a relaxed PrAlNi2H crystal.

Properties
- D(E_F) (states/eV per atom) = 0.43
- magnetization (μB per cell) = 0.0
- uncorrected energy (eV/atom) = -5.165
- calculated volume (A^3/atom) = 14.35

Lattice parameters (Å, degrees): 3.8636 10.6857 6.9495 90.00 90.00 90.00
Space group Cmcm (No. 63)
Unique sites:
Pr (0.0000, 0.0661, 0.2500) x4
Al (0.0000, 0.2162, 0.7500) x4
Ni (0.0000, 0.3393, 0.0576) x8
H (0.0000, 0.5000, 0.0000) x4

Density functional theory data (PBE-GGA) for a relaxed AlNiHPt2 crystal.

Properties
- D(E_F) (states/eV per atom) = 0.27
- magnetization (μB per cell) = 0.0
- uncorrected energy (eV/atom) = -5.477
- calculated volume (A^3/atom) = 11.69

Lattice parameters (Å, degrees): 3.9874 3.9874 3.6757 90.00 90.00 90.00
Space group P4/mmm (No. 123)
Unique sites:
Al (0.0000, 0.0000, 0.0000) x1
Ni (0.5000, 0.5000, 0.0000) x1
H (0.5000, 0.5000, 0.5000) x1
Pt (0.0000, 0.5000, 0.5000) x2

Density functional theory data (PBE-GGA) for a relaxed Al2NiHPt crystal.

Properties
- D(E_F) (states/eV per atom) = 0.32
- magnetization (μB per cell) = 0.0
- uncorrected energy (eV/atom) = -5.068
- calculated volume (A^3/atom) = 11.37

Lattice parameters (Å, degrees): 4.1919 4.1919 3.2366 90.00 90.00 90.00
Space group P4/mmm (No. 123)
Unique sites:
Al (0.0000, 0.5000, 0.0000) x2
Ni (0.0000, 0.0000, 0.5000) x1
H (0.0000, 0.0000, 0.0000) x1
Pt (0.5000, 0.5000, 0.5000) x1